# CdBr3Cl PBE optimized geometry
data_CdBr3Cl
_chemical_formula_sum 'Cd1 Br3 Cl1'
_cell_length_a 5.351
_cell_length_b 5.351
_cell_length_c 5.351
_cell_angle_alpha 90.00
_cell_angle_beta 90.00
_cell_angle_gamma 90.00
_symmetry_space_group_name_H-M 'P m -3 m'
_symmetry_Int_Tables_number 221
_symmetry_space_group_name_Hall '-P 4 2 3'
loop_
_atom_site_label
_atom_site_type_symbol
_atom_site_fract_x
_atom_site_fract_y
_atom_site_fract_z
Cd1 Cd 0.000 0.000 0.000
Br1 Br 0.000 0.500 0.500
Cl1 Cl 0.500 0.500 0.500
# ρ   4.2 g/cm3
# Energy relative to the elements, uncorrected   5.72 kcal/mol of atoms
# Total DFT energy (no corrections)   -1.31 eV/atom
# ΔE to the lowest computed polymorph   1.34 eV/f.u.